(1)
The following is a PBE calculation of a relaxed structure of Sr2CaCd3, from Alexandria via LeMat-Bulk.

```
Sr2CaCd3
1.0
4.001 0.000 0.000
0.000 4.001 0.000
0.000 0.000 11.872
Sr Cd Ca
2 3 1
direct
0.500 0.500 0.826 Sr
0.500 0.500 0.174 Sr
0.000 0.000 0.650 Cd
0.000 0.000 0.000 Cd
0.000 0.000 0.350 Cd
0.500 0.500 0.500 Ca
```

size of the total moment = 0.000 μB per cell
DFT formation energy = -32 kJ/mol of atoms
energy = -1.686 eV per atom
theoretical density = 4.83 Mg/m³



(2)
The following is a PBE calculation of a relaxed structure of Mg2Ti, from Alexandria via LeMat-Bulk.

```
Mg2Ti
1.0
-5.047 1.668 0.264
2.607 -1.309 4.452
1.606 4.786 0.467
Mg Ti
4 2
direct
0.000 0.654 0.000 Mg
0.654 0.000 0.000 Mg
0.346 0.346 0.000 Mg
0.000 0.000 0.500 Mg
0.667 0.333 0.500 Ti
0.333 0.667 0.500 Ti
```

size of the total moment = 3.784 μB per cell
DFT formation energy = 19 kJ/mol of atoms
energy = -3.500 eV per atom
theoretical density = 2.58 Mg/m³



(3)
The following is a PBE calculation of a relaxed structure of ZnCuP2Pt, from Alexandria via LeMat-Bulk.

```
ZnCuP2Pt
1.0
-2.184 1.405 -3.637
1.847 -3.234 -2.358
-3.419 -2.693 1.014
P Pt Cu Zn
2 1 1 1
direct
0.500 0.000 0.000 P
0.000 0.000 0.500 P
0.500 0.500 0.500 Pt
0.000 0.500 0.000 Cu
0.000 0.000 0.000 Zn
```

size of the total moment = 0.000 μB per cell
DFT formation energy = 94 kJ/mol of atoms
energy = -3.477 eV per atom
theoretical density = 7.28 Mg/m³



(4)
The following is a PBE calculation of a relaxed structure of CaScPt, from Alexandria via LeMat-Bulk.

```
CaScPt
1.0
4.471 0.000 0.000
0.000 4.471 0.000
0.000 0.000 7.435
Ca Pt Sc
2 2 2
direct
0.500 0.000 0.134 Ca
0.000 0.500 0.866 Ca
0.500 0.000 0.708 Pt
0.000 0.500 0.292 Pt
0.500 0.500 0.500 Sc
0.000 0.000 0.500 Sc
```

size of the total moment = 0.000 μB per cell
DFT formation energy = -86 kJ/mol of atoms
energy = -5.678 eV per atom
theoretical density = 6.26 Mg/m³



(5)
The following is a PBE calculation of a relaxed structure of DyEr2Zn3, from Alexandria via LeMat-Bulk.

```
DyEr2Zn3
1.0
-0.025 3.283 -1.355
-2.745 -0.877 -2.075
-6.744 3.093 7.616
Dy Zn Er
1 3 2
direct
0.500 0.500 0.500 Dy
0.000 0.000 0.000 Zn
0.000 0.000 0.330 Zn
0.000 0.000 0.670 Zn
0.500 0.500 0.834 Er
0.500 0.500 0.166 Er
```

size of the total moment = 0.000 μB per cell
DFT formation energy = -33 kJ/mol of atoms
energy = -3.270 eV per atom
theoretical density = 8.58 Mg/m³



(6)
The following is a PBE calculation of a relaxed structure of Fe2SiSe2, from Alexandria via LeMat-Bulk.

```
Fe2SiSe2
1.0
-2.188 -2.616 -1.695
2.795 -2.563 0.348
-1.781 -4.166 4.452
Fe Se Si
2 2 1
direct
0.750 0.250 0.500 Fe
0.250 0.750 0.500 Fe
0.637 0.637 0.727 Se
0.363 0.363 0.273 Se
0.000 0.000 0.000 Si
```

size of the total moment = 0.000 μB per cell
energy = -5.555 eV per atom
theoretical density = 5.92 Mg/m³



(7)
The following is a PBE calculation of a relaxed structure of LiLaS2, from Alexandria via LeMat-Bulk.

```
LiLaS2
1.0
5.869 0.000 0.000
0.000 5.869 0.000
2.934 2.934 6.534
S La Li
4 2 2
direct
0.375 0.408 0.750 S
0.592 0.125 0.250 S
0.158 0.625 0.250 S
0.875 0.842 0.750 S
0.750 0.250 0.500 La
0.000 0.000 0.000 La
0.250 0.750 0.500 Li
0.500 0.500 0.000 Li
```

size of the total moment = 0.000 μB per cell
energy = -5.430 eV per atom
theoretical density = 3.10 Mg/m³



(8)
The following is a PBE calculation of a relaxed structure of HgTe2Pb, from Alexandria via LeMat-Bulk.

```
HgTe2Pb
1.0
3.347 0.015 0.000
-0.768 3.258 0.000
0.000 0.000 11.712
Te Hg Pb
2 1 1
direct
0.000 0.000 0.526 Te
0.000 0.000 0.974 Te
0.500 0.500 0.250 Hg
0.500 0.500 0.750 Pb
```

size of the total moment = 0.000 μB per cell
energy = -2.537 eV per atom
theoretical density = 8.61 Mg/m³



(9)
The following is a PBE calculation of a relaxed structure of Hg2RhI6, from Alexandria via LeMat-Bulk.

```
Hg2RhI6
1.0
-5.762 4.347 -2.522
-7.231 -2.024 1.442
-4.170 4.459 5.622
I Hg Rh
6 2 1
direct
0.551 0.979 0.233 I
0.134 0.700 0.765 I
0.238 0.551 0.233 I
0.400 0.134 0.765 I
0.979 0.238 0.233 I
0.700 0.400 0.765 I
0.580 0.580 0.259 Hg
0.750 0.750 0.749 Hg
0.333 0.333 0.001 Rh
```

size of the total moment = 0.000 μB per cell
energy = -2.080 eV per atom
theoretical density = 5.91 Mg/m³



(10)
The following is a PBE calculation of a relaxed structure of La3ScCu, from Alexandria via LeMat-Bulk.

```
La3ScCu
1.0
5.592 0.000 0.000
0.000 5.592 0.000
0.000 0.000 5.592
Cu La Sc
1 3 1
direct
0.000 0.000 0.000 Cu
0.500 0.000 0.000 La
0.000 0.000 0.500 La
0.000 0.500 0.000 La
0.500 0.500 0.500 Sc
```

size of the total moment = 0.000 μB per cell
DFT formation energy = 26 kJ/mol of atoms
energy = -4.771 eV per atom
theoretical density = 4.99 Mg/m³



(11)
The following is a PBE calculation of a relaxed structure of La3Tm2Tl, from Alexandria via LeMat-Bulk.

```
La3Tm2Tl
1.0
0.562 -6.731 -2.644
3.607 2.065 5.147
-11.267 5.252 4.873
La Tm Tl
6 4 2
direct
0.809 0.597 0.382 La
0.342 0.997 0.739 La
0.056 0.268 0.057 La
0.191 0.403 0.618 La
0.944 0.732 0.943 La
0.658 0.003 0.261 La
0.362 0.662 0.403 Tm
0.638 0.338 0.597 Tm
0.375 0.653 0.933 Tm
0.625 0.347 0.067 Tm
0.145 0.996 0.267 Tl
0.855 0.004 0.733 Tl
```

size of the total moment = 0.000 μB per cell
DFT formation energy = -10 kJ/mol of atoms
energy = -4.452 eV per atom
theoretical density = 8.22 Mg/m³



(12)
The following is a PBE calculation of a relaxed structure of LaReAs2, from Alexandria via LeMat-Bulk.

```
LaReAs2
1.0
5.027 -0.013 -0.002
0.183 5.024 0.002
-1.902 -3.237 3.343
As La Re
2 1 1
direct
0.548 0.548 0.000 As
0.952 0.952 0.000 As
0.250 0.750 0.500 La
0.750 0.250 0.500 Re
```

size of the total moment = 0.000 μB per cell
DFT formation energy = -30 kJ/mol of atoms
energy = -6.983 eV per atom
theoretical density = 9.34 Mg/m³



(13)
The following is a PBE calculation of a relaxed structure of La2CdGa4Ag3, from Alexandria via LeMat-Bulk.

```
La2CdGa4Ag3
1.0
-3.866 -1.049 -1.904
2.124 -0.989 -3.766
1.173 -10.553 3.432
Ga Ag Cd La
4 3 1 2
direct
0.000 0.000 0.000 Ga
0.000 0.500 0.357 Ga
0.500 0.000 0.643 Ga
0.500 0.500 0.000 Ga
0.000 0.500 0.129 Ag
0.500 0.000 0.871 Ag
0.000 0.000 0.500 Ag
0.500 0.500 0.500 Cd
0.500 0.000 0.246 La
0.000 0.500 0.754 La
```

size of the total moment = 0.000 μB per cell
DFT formation energy = -38 kJ/mol of atoms
energy = -3.540 eV per atom
theoretical density = 7.51 Mg/m³